A geometry-optimized TbPr4Tl structure, computed with PBE-GGA.

Summary:
DOS at the Fermi energy: 6.95 states/eV/f.u.
distance to the lowest polymorph of the same formula: 85 meV/atom

```
12
Lattice="2.727 -11.031 0.000 2.727 11.031 0.000 0.000 0.000 6.752" Properties=species:S:1:pos:R:3 pbc="T T T"
Tb 2.727 8.038 3.376
Tb 2.727 -8.038 0.000
Pr 2.727 9.621 0.124
Pr 2.727 5.942 0.040
Pr 2.727 3.485 4.634
Pr 2.727 0.467 5.922
Pr 2.727 -0.467 2.546
Pr 2.727 -3.485 1.258
Pr 2.727 -5.942 3.416
Pr 2.727 -9.621 3.500
Tl 2.727 2.893 1.556
Tl 2.727 -2.893 4.932
```

A geometry-optimized Tb4PrTl structure, computed with PBE-GGA.

Summary:
DOS at the Fermi energy: 7.65 states/eV/f.u.
distance to the lowest polymorph of the same formula: 0 meV/atom

```
6
Lattice="3.633 0.000 0.000 0.000 3.633 0.000 0.000 0.000 14.345" Properties=species:S:1:pos:R:3 pbc="T T T"
Tb 0.000 0.000 2.106
Tb 0.000 0.000 12.239
Tb 1.816 1.816 4.593
Tb 1.816 1.816 9.752
Pr 0.000 0.000 7.173
Tl 1.816 1.816 0.000
```

A geometry-optimized Tb5PrTl6 structure, computed with PBE-GGA.

Summary:
DOS at the Fermi energy: 9.31 states/eV/f.u.
distance to the lowest polymorph of the same formula: 0 meV/atom

```
12
Lattice="4.674 -8.142 0.000 4.674 8.142 0.000 -3.124 0.000 4.422" Properties=species:S:1:pos:R:3 pbc="T T T"
Tb 0.000 0.000 0.000
Tb 3.112 5.415 2.211
Tb 4.674 2.665 0.000
Tb 4.674 -2.665 0.000
Tb 3.112 -5.415 2.211
Pr 3.112 0.000 2.211
Tl 1.531 2.761 1.085
Tl -0.064 0.000 3.276
Tl 1.531 -2.761 1.085
Tl 4.693 2.761 3.337
Tl 6.288 0.000 1.146
Tl 4.693 -2.761 3.337
```

A geometry-optimized Tb3PrTl structure, computed with PBE-GGA.

Summary:
DOS at the Fermi energy: 7.38 states/eV/f.u.
distance to the lowest polymorph of the same formula: 0 meV/atom

```
10
Lattice="2.456 -12.813 0.000 2.456 12.813 0.000 0.000 0.000 4.868" Properties=species:S:1:pos:R:3 pbc="T T T"
Tb 2.456 11.612 3.651
Tb 2.456 6.394 3.651
Tb 2.456 1.313 3.651
Tb 2.456 -1.313 1.217
Tb 2.456 -6.394 1.217
Tb 2.456 -11.612 1.217
Pr 2.456 9.027 1.217
Pr 2.456 -9.027 3.651
Tl 2.456 3.958 1.217
Tl 2.456 -3.958 3.651
```

A geometry-optimized Tb6Pr5Tl structure, computed with PBE-GGA.

Summary:
DOS at the Fermi energy: 15.58 states/eV/f.u.
VASP energy: -4.53 eV/atom

```
12
Lattice="-2.532 5.091 7.625 2.532 -5.091 7.625 2.532 5.091 -7.625" Properties=species:S:1:pos:R:3 pbc="T T T"
Tb 2.532 2.498 -2.504
Tb 0.000 2.492 0.000
Tb 2.532 2.498 2.504
Tb 0.000 2.594 5.121
Tb 0.000 7.690 0.000
Tb 0.000 2.594 10.129
Pr 0.000 0.000 2.562
Pr 2.532 0.000 5.131
Pr 0.000 0.000 7.625
Pr 0.000 5.091 2.494
Pr 0.000 0.000 12.688
Tl 2.532 0.000 0.000
```

A geometry-optimized TbPrTl structure, computed with PBE-GGA.

Summary:
DOS at the Fermi energy: 3.21 states/eV/f.u.
distance to the lowest polymorph of the same formula: 17 meV/atom

```
6
Lattice="4.766 0.000 0.000 0.000 4.766 0.000 0.000 0.000 8.440" Properties=species:S:1:pos:R:3 pbc="T T T"
Tb 1.192 3.575 0.000
Tb 3.575 1.192 0.000
Pr 1.192 1.192 2.979
Pr 3.575 3.575 5.462
Tl 1.192 1.192 6.210
Tl 3.575 3.575 2.231
```

A geometry-optimized Tb2Pr2Tl structure, computed with PBE-GGA.

Summary:
DOS at the Fermi energy: 5.36 states/eV/f.u.
distance to the lowest polymorph of the same formula: 41 meV/atom

```
10
Lattice="2.608 -8.636 0.000 2.608 8.636 0.000 0.000 0.000 6.897" Properties=species:S:1:pos:R:3 pbc="T T T"
Tb 2.608 6.775 3.448
Tb 2.608 3.341 5.088
Tb 2.608 -3.341 1.639
Tb 2.608 -6.775 0.000
Pr 2.608 3.429 1.776
Pr 2.608 0.045 1.749
Pr 2.608 -0.045 5.198
Pr 2.608 -3.429 5.225
Tl 2.608 6.857 0.024
Tl 2.608 -6.857 3.472
```

A geometry-optimized Tb3Pr5Tl2 structure, computed with PBE-GGA.

Summary:
DOS at the Fermi energy: 12.36 states/eV/f.u.
VASP energy: -4.11 eV/atom

```
20
Lattice="-6.688 7.707 3.336 6.688 -7.707 3.336 6.688 7.707 -3.336" Properties=species:S:1:pos:R:3 pbc="T T T"
Tb 1.465 3.541 0.000
Tb 0.000 0.000 1.668
Tb 8.153 4.166 0.000
Tb -1.465 3.541 3.336
Tb 0.000 0.000 5.004
Tb 5.223 4.166 3.336
Pr 5.015 2.516 0.000
Pr 3.363 7.707 -1.668
Pr 3.326 0.000 1.668
Pr 6.688 0.000 1.668
Pr 5.015 -2.516 3.336
Pr 1.673 10.223 0.000
Pr 0.000 7.707 1.668
Pr 3.363 7.707 1.668
Pr 3.326 0.000 5.004
Pr 1.673 5.191 3.336
Tl 5.057 -5.505 3.336
Tl 5.057 5.505 0.000
Tl 1.631 2.202 3.336
Tl 1.631 13.212 0.000
```

A geometry-optimized Tb2PrTl structure, computed with PBE-GGA.

Summary:
DOS at the Fermi energy: 4.39 states/eV/f.u.
distance to the lowest polymorph of the same formula: 13 meV/atom

```
4
Lattice="3.669 0.000 0.000 0.000 3.669 0.000 0.000 0.000 9.227" Properties=species:S:1:pos:R:3 pbc="T T T"
Tb 0.000 0.000 2.055
Tb 0.000 0.000 7.172
Pr 1.834 1.834 4.613
Tl 1.834 1.834 0.000
```

A geometry-optimized TbPrTl structure, computed with PBE-GGA.

Summary:
DOS at the Fermi energy: 3.63 states/eV/f.u.
distance to the lowest polymorph of the same formula: 0 meV/atom

```
6
Lattice="5.537 0.000 0.000 -2.768 4.795 0.000 0.000 0.000 6.821" Properties=species:S:1:pos:R:3 pbc="T T T"
Tb 0.000 3.197 1.705
Tb 2.768 1.598 5.116
Pr 0.000 0.000 0.000
Pr 0.000 0.000 3.410
Tl 0.000 3.197 5.116
Tl 2.768 1.598 1.705
```

A geometry-optimized Tb3Pr2Tl structure, computed with PBE-GGA.

Summary:
DOS at the Fermi energy: 7.41 states/eV/f.u.
distance to the lowest polymorph of the same formula: 0 meV/atom

```
6
Lattice="2.460 -7.727 0.000 2.460 7.727 0.000 0.000 0.000 4.971" Properties=species:S:1:pos:R:3 pbc="T T T"
Tb 0.000 0.000 0.000
Tb 2.460 2.541 0.000
Tb 2.460 -2.541 0.000
Pr 2.460 5.218 2.486
Pr 2.460 -5.218 2.486
Tl 2.460 0.000 2.486
```

A geometry-optimized TbPr3Tl3 structure, computed with PBE-GGA.

Summary:
DOS at the Fermi energy: 8.13 states/eV/f.u.
distance to the lowest polymorph of the same formula: 0 meV/atom

```
28
Lattice="9.619 0.000 0.000 0.000 9.619 0.000 0.000 0.000 9.619" Properties=species:S:1:pos:R:3 pbc="T T T"
Tb 0.715 4.095 5.524
Tb 4.095 5.524 0.715
Tb 5.524 0.715 4.095
Tb 8.904 8.904 8.904
Pr 0.667 5.476 8.952
Pr 1.664 1.664 1.664
Pr 1.695 7.924 3.114
Pr 3.114 1.695 7.924
Pr 3.146 7.955 6.473
Pr 4.142 4.142 4.142
Pr 5.476 8.952 0.667
Pr 6.473 3.146 7.955
Pr 6.505 6.505 6.505
Pr 7.924 3.114 1.695
Pr 7.955 6.473 3.146
Pr 8.952 0.667 5.476
Tl 0.021 7.164 6.078
Tl 1.268 4.789 2.455
Tl 2.354 8.350 9.598
Tl 2.455 1.268 4.789
Tl 3.541 4.830 7.264
Tl 4.789 2.455 1.268
Tl 4.830 7.264 3.541
Tl 6.078 0.021 7.164
Tl 7.164 6.078 0.021
Tl 7.264 3.541 4.830
Tl 8.350 9.598 2.354
Tl 9.598 2.354 8.350
```

A geometry-optimized Tb4Pr5Tl structure, computed with PBE-GGA.

Summary:
DOS at the Fermi energy: 14.52 states/eV/f.u.
distance to the lowest polymorph of the same formula: 146 meV/atom

```
10
Lattice="-5.357 5.357 3.039 5.357 -5.357 3.039 5.357 5.357 -3.039" Properties=species:S:1:pos:R:3 pbc="T T T"
Tb 3.422 0.000 0.000
Tb 7.292 0.000 0.000
Tb 0.000 3.422 0.000
Tb 0.000 7.292 0.000
Pr 3.338 3.338 0.085
Pr 2.019 -2.019 3.124
Pr -2.019 2.019 3.124
Pr 2.019 2.019 3.124
Pr 0.000 0.000 4.850
Tl 0.000 0.000 1.674
```

A geometry-optimized Tb2PrTl structure, computed with PBE-GGA.

Summary:
DOS at the Fermi energy: 6.15 states/eV/f.u.
distance to the lowest polymorph of the same formula: 0 meV/atom

```
4
Lattice="4.954 0.000 0.000 0.000 4.954 0.000 0.000 0.000 4.866" Properties=species:S:1:pos:R:3 pbc="T T T"
Tb 0.000 2.477 0.000
Tb 2.477 0.000 0.000
Pr 0.000 0.000 2.433
Tl 2.477 2.477 2.433
```

A geometry-optimized Tb6Pr8Tl structure, computed with PBE-GGA.

Summary:
DOS at the Fermi energy: 21.24 states/eV/f.u.
VASP energy: -4.48 eV/atom

```
15
Lattice="9.442 0.000 0.000 -4.721 8.177 0.000 0.000 0.000 6.627" Properties=species:S:1:pos:R:3 pbc="T T T"
Tb -2.141 5.313 1.088
Tb 1.190 3.667 1.088
Tb 3.771 0.803 5.539
Tb 0.950 7.374 1.088
Tb 3.531 4.510 5.539
Tb 6.862 2.864 5.539
Pr -3.227 6.290 4.503
Pr 0.888 2.237 4.503
Pr 2.381 0.350 2.125
Pr 0.000 5.451 4.233
Pr 4.721 2.726 2.394
Pr 2.340 7.827 4.503
Pr 3.833 5.940 2.125
Pr 7.948 1.887 2.125
Tl 0.000 0.000 0.000
```

A geometry-optimized TbPr2Tl4 structure, computed with PBE-GGA.

Summary:
DOS at the Fermi energy: 5.86 states/eV/f.u.
distance to the lowest polymorph of the same formula: 0 meV/atom

```
7
Lattice="-2.679 2.679 7.660 2.679 -2.679 7.660 2.679 2.679 -7.660" Properties=species:S:1:pos:R:3 pbc="T T T"
Tb 0.000 0.000 0.000
Pr 0.000 0.000 3.864
Pr 0.000 0.000 11.455
Tl 2.679 0.000 1.700
Tl 2.679 0.000 5.960
Tl 0.000 2.679 1.700
Tl 0.000 2.679 5.960
```

A geometry-optimized Tb5PrTl3 structure, computed with PBE-GGA.

Summary:
DOS at the Fermi energy: 10.90 states/eV/f.u.
VASP energy: -4.15 eV/atom

```
18
Lattice="9.462 0.000 0.000 -4.731 8.194 0.000 0.000 0.000 6.788" Properties=species:S:1:pos:R:3 pbc="T T T"
Tb -1.560 2.702 1.697
Tb -3.171 5.492 5.091
Tb 3.120 0.000 1.697
Tb 1.560 2.702 5.091
Tb 0.000 5.463 0.000
Tb 0.000 5.463 3.394
Tb 4.731 2.731 0.000
Tb 4.731 2.731 3.394
Tb 6.342 0.000 5.091
Tb 3.171 5.492 1.697
Pr 0.000 0.000 0.000
Pr 0.000 0.000 3.394
Tl -1.610 2.788 5.091
Tl -3.121 5.406 1.697
Tl 3.219 0.000 5.091
Tl 1.610 2.788 1.697
Tl 6.243 0.000 1.697
Tl 3.121 5.406 5.091
```

A geometry-optimized Tb2Pr3Tl2 structure, computed with PBE-GGA.

Summary:
DOS at the Fermi energy: 7.76 states/eV/f.u.
distance to the lowest polymorph of the same formula: 85 meV/atom

```
7
Lattice="2.501 -12.239 0.000 2.501 12.239 0.000 0.000 0.000 3.584" Properties=species:S:1:pos:R:3 pbc="T T T"
Tb 2.501 7.030 0.000
Tb 2.501 -7.030 0.000
Pr 2.501 3.506 1.792
Pr 2.501 0.000 1.792
Pr 2.501 -3.506 1.792
Tl 2.501 10.456 0.000
Tl 2.501 -10.456 0.000
```

A geometry-optimized Tb4PrTl structure, computed with PBE-GGA.

Summary:
DOS at the Fermi energy: 8.51 states/eV/f.u.
distance to the lowest polymorph of the same formula: 124 meV/atom

```
12
Lattice="2.814 -10.634 0.000 2.814 10.634 0.000 0.000 0.000 6.572" Properties=species:S:1:pos:R:3 pbc="T T T"
Tb 2.814 9.767 3.286
Tb 2.814 6.719 4.461
Tb 2.814 5.409 1.322
Tb 2.814 2.948 5.465
Tb 2.814 -2.948 2.179
Tb 2.814 -5.409 4.608
Tb 2.814 -6.719 1.175
Tb 2.814 -9.767 0.000
Pr 2.814 1.367 2.133
Pr 2.814 -1.367 5.420
Tl 2.814 8.436 0.500
Tl 2.814 -8.436 3.786
```

A geometry-optimized TbPr3Tl2 structure, computed with PBE-GGA.

Summary:
DOS at the Fermi energy: 6.19 states/eV/f.u.
distance to the lowest polymorph of the same formula: 86 meV/atom

```
12
Lattice="8.318 -2.548 0.000 8.318 2.548 0.000 -5.024 0.000 9.133" Properties=species:S:1:pos:R:3 pbc="T T T"
Tb 1.640 0.000 0.591
Tb 9.972 0.000 8.542
Pr -1.118 0.000 3.292
Pr 1.677 0.000 5.671
Pr 4.461 0.000 2.967
Pr 7.150 0.000 6.166
Pr 9.934 0.000 3.462
Pr 12.729 0.000 5.841
Tl -0.491 0.000 8.212
Tl 7.443 0.000 1.262
Tl 4.168 0.000 7.871
Tl 12.103 0.000 0.922
```

A geometry-optimized Tb2Pr4Tl structure, computed with PBE-GGA.

Summary:
DOS at the Fermi energy: 9.23 states/eV/f.u.
VASP energy: -4.00 eV/atom

```
7
Lattice="3.141 -6.343 0.000 3.141 6.343 0.000 0.000 0.000 6.161" Properties=species:S:1:pos:R:3 pbc="T T T"
Tb 3.141 4.853 0.000
Tb 3.141 -4.853 0.000
Pr 3.141 4.227 3.081
Pr 3.141 1.703 0.000
Pr 3.141 -1.703 0.000
Pr 3.141 -4.227 3.081
Tl 3.141 0.000 3.081
```

A geometry-optimized TbPr6Tl structure, computed with PBE-GGA.

Summary:
DOS at the Fermi energy: 9.66 states/eV/f.u.
distance to the lowest polymorph of the same formula: 69 meV/atom

```
8
Lattice="4.285 -4.980 0.000 4.285 4.980 0.000 -0.820 0.000 6.414" Properties=species:S:1:pos:R:3 pbc="T T T"
Tb 0.000 0.000 0.000
Pr 2.629 1.955 1.756
Pr 2.307 0.000 5.107
Pr 5.122 1.955 4.658
Pr 2.629 -1.955 1.756
Pr 5.444 0.000 1.307
Pr 5.122 -1.955 4.658
Tl -0.410 0.000 3.207
```